Entry 1:
A relaxed KSr3Ti crystal, computed with PBE.

Computed properties:
The density of states at the Fermi level is 9.43 states/eV/cell. The value obtained for the formation energy from the elements is 1.28 eV/atom. The calculated total energy is -7.65 eV for the cell shown.

a b c (Å): 6.495 6.495 6.495
angles (deg): 90.00 90.00 90.00
Space group Pm-3m (No. 221)
Inequivalent atoms, fractional coordinates:
1 K 0.000 0.000 0.000 [1 per cell]
2 Sr 0.000 0.000 0.500 [3 per cell]
3 Ti 0.500 0.500 0.500 [1 per cell]

***

Entry 2:
A relaxed Ac4NpGe5 crystal, computed with PBE.

Computed properties:
The density of states at the Fermi level is 30.79 states/eV/cell. The value obtained for the formation energy from the elements is -0.41 eV/atom. The calculated total energy is -113.12 eV for the cell shown.

a b c (Å): 10.074 10.074 6.333
angles (deg): 90.00 90.00 90.00
Space group I4 (No. 79)
Inequivalent atoms, fractional coordinates:
1 Ac 0.093 0.698 0.000 [8 per cell]
2 Np 0.000 0.000 0.499 [2 per cell]
3 Ge 0.000 0.000 0.994 [2 per cell]
4 Ge 0.091 0.731 0.500 [8 per cell]

***

Entry 3:
A relaxed CoHg2Os crystal, computed with PBE.

Computed properties:
The density of states at the Fermi level is 9.23 states/eV/cell. The value obtained for the formation energy from the elements is 0.71 eV/atom. The calculated total energy is -32.18 eV for the cell shown.

a b c (Å): 10.617 2.829 4.913
angles (deg): 90.00 111.91 90.00
Space group Cm (No. 8)
Inequivalent atoms, fractional coordinates:
1 Co 0.000 0.000 0.000 [2 per cell]
2 Hg 0.047 0.500 0.526 [2 per cell]
3 Hg 0.258 0.500 0.156 [2 per cell]
4 Os 0.311 0.000 0.693 [2 per cell]

***

Entry 4:
A relaxed YMg2Sc crystal, computed with PBE.

Computed properties:
The density of states at the Fermi level is 15.25 states/eV/cell. The value obtained for the formation energy from the elements is 0.08 eV/atom. The calculated total energy is -62.70 eV for the cell shown.

a b c (Å): 7.437 7.437 7.437
angles (deg): 90.00 90.00 90.00
Space group F-43m (No. 216)
Inequivalent atoms, fractional coordinates:
1 Y 0.000 0.000 0.000 [4 per cell]
2 Mg 0.000 0.000 0.500 [4 per cell]
3 Mg 0.250 0.250 0.750 [4 per cell]
4 Sc 0.250 0.250 0.250 [4 per cell]

***

Entry 5:
A relaxed In3IrBr crystal, computed with PBE.

Computed properties:
The density of states at the Fermi level is 9.00 states/eV/cell. The value obtained for the energy relative to the elements, uncorrected is -0.079 eV per atom. The calculated total energy is -76.58 eV for the cell shown.

a b c (Å): 8.106 8.427 8.231
angles (deg): 90.00 90.00 90.00
Space group Pnma (No. 62)
Inequivalent atoms, fractional coordinates:
1 In 0.113 0.056 0.151 [8 per cell]
2 In 0.177 0.250 0.737 [4 per cell]
3 Ir 0.056 0.750 0.048 [4 per cell]
4 Br 0.000 0.000 0.500 [4 per cell]

***

Entry 6:
A relaxed NaTbGd crystal, computed with PBE.

Computed properties:
The density of states at the Fermi level is 3.92 states/eV/cell. The value obtained for the formation energy from the elements is 0.13 eV/atom. The calculated total energy is -19.64 eV for the cell shown.

a b c (Å): 3.5515 3.5515 9.2110
angles (deg): 90.00 90.00 120.00
Space group P3m1 (No. 156)
Inequivalent atoms, fractional coordinates:
1 Na 0.0000 0.0000 0.0000 [1 per cell]
2 Tb 0.3333 0.6667 0.6521 [1 per cell]
3 Gd 0.6667 0.3333 0.3515 [1 per cell]

***

Entry 7:
A relaxed Ce2Co5CuB2 crystal, computed with PBE.

Computed properties:
The density of states at the Fermi level is 12.95 states/eV/cell. The value obtained for the formation energy from the elements is -0.25 eV/atom. The calculated total energy is -134.69 eV for the cell shown.

a b c (Å): 8.950 8.950 3.135
angles (deg): 90.00 90.00 90.00
Space group P4/mbm (No. 127)
Inequivalent atoms, fractional coordinates:
1 Ce 0.180 0.320 0.000 [4 per cell]
2 Co 0.000 0.500 0.500 [2 per cell]
3 Co 0.069 0.771 0.500 [8 per cell]
4 Cu 0.000 0.000 0.000 [2 per cell]
5 B 0.116 0.616 0.000 [4 per cell]

***

Entry 8:
A relaxed PuMg4Ag5 crystal, computed with PBE.

Computed properties:
The density of states at the Fermi level is 10.45 states/eV/cell. The value obtained for the formation energy from the elements is -0.17 eV/atom. The calculated total energy is -36.67 eV for the cell shown.

a b c (Å): 3.299 3.299 17.956
angles (deg): 90.00 90.00 90.00
Space group P4/mmm (No. 123)
Inequivalent atoms, fractional coordinates:
1 Pu 0.000 0.000 0.000 [1 per cell]
2 Mg 0.000 0.000 0.218 [2 per cell]
3 Mg 0.000 0.000 0.407 [2 per cell]
4 Ag 0.500 0.500 0.126 [2 per cell]
5 Ag 0.500 0.500 0.313 [2 per cell]
6 Ag 0.500 0.500 0.500 [1 per cell]

***

Entry 9:
A relaxed NdSm3Pu2Se6 crystal, computed with PBE.

Computed properties:
The density of states at the Fermi level is 39.35 states/eV/cell. The value obtained for the energy relative to the elements, uncorrected is -1.745 eV per atom. The calculated total energy is -178.86 eV for the cell shown.

a b c (Å): 7.211 12.500 7.250
angles (deg): 90.00 109.37 90.00
Space group C2/m (No. 12)
Inequivalent atoms, fractional coordinates:
1 Nd 0.000 0.000 0.000 [2 per cell]
2 Sm 0.000 0.165 0.500 [4 per cell]
3 Sm 0.000 0.500 0.500 [2 per cell]
4 Pu 0.000 0.333 0.000 [4 per cell]
5 Se 0.244 0.500 0.249 [4 per cell]
6 Se 0.247 0.331 0.750 [8 per cell]

***

Entry 10:
A relaxed Tl8Sb2Au crystal, computed with PBE.

Computed properties:
The density of states at the Fermi level is 5.89 states/eV/cell. The value obtained for the energy relative to the elements, uncorrected is 0.003 eV per atom. The calculated total energy is -60.84 eV for the cell shown.

a b c (Å): 16.285 7.061 6.543
angles (deg): 90.00 110.98 90.00
Space group C2/m (No. 12)
Inequivalent atoms, fractional coordinates:
1 Tl 0.072 0.231 0.252 [8 per cell]
2 Tl 0.155 0.000 0.823 [4 per cell]
3 Tl 0.229 0.500 0.591 [4 per cell]
4 Sb 0.125 0.500 0.919 [4 per cell]
5 Au 0.000 0.500 0.500 [2 per cell]

***

Entry 11:
A relaxed LiRuBr crystal, computed with PBE.

Computed properties:
The density of states at the Fermi level is 13.08 states/eV/cell. The value obtained for the energy relative to the elements, uncorrected is 0.459 eV per atom. The calculated total energy is -45.94 eV for the cell shown.

a b c (Å): 3.044 5.480 12.678
angles (deg): 90.00 90.00 90.00
Space group Fmm2 (No. 42)
Inequivalent atoms, fractional coordinates:
1 Li 0.000 0.000 0.000 [4 per cell]
2 Ru 0.000 0.000 0.673 [4 per cell]
3 Br 0.000 0.000 0.332 [4 per cell]

***

Entry 12:
A relaxed Tb12PrEr2 crystal, computed with PBE.

Computed properties:
The density of states at the Fermi level is 38.52 states/eV/cell. The value obtained for the formation energy from the elements is 0.32 eV/atom. The calculated total energy is -129.43 eV for the cell shown.

a b c (Å): 6.397 6.397 25.115
angles (deg): 90.00 90.00 90.00
Space group P4/nbm (No. 125, origin choice 2)
Inequivalent atoms, fractional coordinates:
1 Tb 0.067 0.567 0.118 [8 per cell]
2 Tb 0.082 0.582 0.439 [8 per cell]
3 Tb 0.250 0.250 0.218 [4 per cell]
4 Tb 0.250 0.250 0.340 [4 per cell]
5 Pr 0.250 0.750 0.000 [2 per cell]
6 Er 0.250 0.750 0.276 [4 per cell]